Compound: Mn2ZnSi
Source: the Alexandria database
Functional: GGA-PBEsol
Structure: relaxed Values from VASP.

Cell and atoms, written as Quantum ESPRESSO input:
```
&SYSTEM
  ibrav = 0, nat = 4, ntyp = 3
/
ATOMIC_SPECIES
Mn 54.94 Mn.upf
Zn 65.41 Zn.upf
Si 28.09 Si.upf
CELL_PARAMETERS angstrom
-2.2086 -1.5706 0.2910
1.0409 -0.7400 3.9062
-2.1718 3.2763 1.1995
ATOMIC_POSITIONS crystal
Mn 0.0000 0.0000 0.5000
Zn 0.5000 0.0000 0.0000
Mn 0.0000 0.5000 0.0000
Si 0.5000 0.5000 0.5000
```

Symmetry ... No. 123
ρ ... 7.34 g/cm³
ΔE_f (raw) ... -90 meV per atom
Crystal system ... tetragonal